A plane-wave DFT calculation with PBE was carried out for crystalline RhO4 at its relaxed geometry.

Cell lengths 3.834, 3.834, 3.834 Å; angles 90.00, 90.00, 90.00 degrees
Space group Pm-3m (No. 221)
Asymmetric unit:
Rh: 0.000 0.000 0.000 (multiplicity 1)
O: 0.000 0.000 0.500 (multiplicity 3)
O: 0.500 0.500 0.500 (multiplicity 1)

Total DFT energy (no corrections) = -24.49 eV/cell
Total magnetic moment = 0.613 μB per cell
Crystal system = cubic

A plane-wave DFT calculation with PBE was carried out for crystalline SbAs2Au at its relaxed geometry.

Cell lengths 3.544, 5.404, 9.048 Å; angles 90.00, 90.00, 90.00 degrees
Space group Cmm2 (No. 35)
Asymmetric unit:
Sb: 0.000 0.000 0.000 (multiplicity 2)
As: 0.000 0.000 0.491 (multiplicity 2)
As: 0.000 0.500 0.703 (multiplicity 2)
Au: 0.000 0.500 0.250 (multiplicity 2)

Total DFT energy (no corrections) = -30.79 eV/cell
Total magnetic moment = 0.000 μB per cell
Crystal system = orthorhombic

A plane-wave DFT calculation with PBE was carried out for crystalline Pr2SI at its relaxed geometry.

Cell lengths 4.2466, 4.2466, 22.6548 Å; angles 90.00, 90.00, 120.00 degrees
Space group R-3m (No. 166, hexagonal axes)
Asymmetric unit:
Pr: 0.0000 0.0000 0.2278 (multiplicity 6)
S: 0.0000 0.0000 0.5000 (multiplicity 3)
I: 0.0000 0.0000 0.0000 (multiplicity 3)

Total DFT energy (no corrections) = -63.38 eV/cell
Total magnetic moment = 0.000 μB per cell
Crystal system = trigonal

The lowest total DFT energy (no corrections) belongs to which entry?
Pr2SI